Record 1
Compound: CeHo2F11
Source: Alexandria via LeMat-Bulk
Functional: PBE
Structure: optimized geometry

## Properties
formation energy without anion corrections	-3.66	eV per atom
space-group type	Ibam

a = 8.620 Å, b = 8.620 Å, c = 8.620 Å
α = 122.51°, β = 107.30°, γ = 99.51°
Fractional coordinates of all 28 atoms:
Ce 0.250 0.250 0.000
Ce 0.750 0.750 0.000
Ho 0.190 0.659 0.849
Ho 0.310 0.159 0.469
Ho 0.690 0.841 0.531
Ho 0.810 0.341 0.151
F 0.000 0.500 0.500
F 0.028 0.958 0.271
F 0.056 0.342 0.130
F 0.187 0.458 0.929
F 0.192 0.390 0.582
F 0.212 0.927 0.870
F 0.288 0.158 0.715
F 0.308 0.890 0.197
F 0.313 0.242 0.271
F 0.444 0.573 0.285
F 0.472 0.742 0.929
F 0.500 0.000 0.500
F 0.528 0.258 0.071
F 0.556 0.427 0.715
F 0.687 0.758 0.729
F 0.692 0.110 0.803
F 0.712 0.842 0.285
F 0.788 0.073 0.130
F 0.808 0.610 0.418
F 0.813 0.542 0.071
F 0.944 0.658 0.870
F 0.972 0.042 0.729

---

Record 2
Compound: Tb5Dy4Mg
Source: Alexandria via LeMat-Bulk
Functional: PBE
Structure: optimized geometry

## Properties
distance to the lowest polymorph of the same formula	0.0	kJ/mol of atoms
space-group type	P4/mmm
Fermi-level density of states	1.99	states/eV per atom
energy of formation from the pure elements	99	meV per atom

a = 4.082 Å, b = 4.082 Å, c = 18.717 Å
α = 90.00°, β = 90.00°, γ = 90.00°
Fractional coordinates of all 10 atoms:
Tb 0.000 0.000 0.000
Tb 0.000 0.000 0.199
Tb 0.000 0.000 0.404
Tb 0.000 0.000 0.596
Tb 0.000 0.000 0.801
Dy 0.500 0.500 0.100
Dy 0.500 0.500 0.297
Dy 0.500 0.500 0.703
Dy 0.500 0.500 0.900
Mg 0.500 0.500 0.500

---

Listing final energy for the structures above in their given order: -6.207, -4.216 eV per atom.